# LiYGe2Ir, optimized geometry, DFT PBE
# E_form = -0.665 eV/atom
data_LiYGe2Ir
_space_group_name_H-M_alt 'I -4 m 2'
_space_group_IT_number 119
_space_group_name_Hall 'I -4 -2'
_cell_length_a 4.103
_cell_length_b 4.103
_cell_length_c 10.578
_cell_angle_alpha 90.00
_cell_angle_beta 90.00
_cell_angle_gamma 90.00
loop_
_atom_site_label
_atom_site_type_symbol
_atom_site_fract_x
_atom_site_fract_y
_atom_site_fract_z
_atom_site_occupancy
Li1 Li 0.000 0.000 0.000 1
Y1 Y 0.000 0.500 0.250 1
Ge1 Ge 0.000 0.500 0.631 1
Ir1 Ir 0.000 0.000 0.500 1

# La2SmSn3Pd4, optimized geometry, DFT PBE
# E_form = -0.830 eV/atom
data_La2SmSn3Pd4
_space_group_name_H-M_alt 'P -4 m 2'
_space_group_IT_number 115
_cell_length_a 4.647
_cell_length_b 4.647
_cell_length_c 11.201
_cell_angle_alpha 90.00
_cell_angle_beta 90.00
_cell_angle_gamma 90.00
loop_
_space_group_symop_operation_xyz
'x,y,z'
'y,-x,-z'
'-x,-y,z'
'-y,x,-z'
'-x,y,z'
'-y,-x,-z'
'x,-y,z'
'y,x,-z'
loop_
_atom_site_label
_atom_site_type_symbol
_atom_site_fract_x
_atom_site_fract_y
_atom_site_fract_z
_atom_site_occupancy
La1 La 0.000 0.500 0.222 1
Sm1 Sm 0.000 0.000 0.500 1
Sn1 Sn 0.000 0.500 0.878 1
Sn2 Sn 0.500 0.500 0.500 1
Pd1 Pd 0.000 0.000 0.000 1
Pd2 Pd 0.000 0.500 0.646 1
Pd3 Pd 0.500 0.500 0.000 1

# Cd2WCl, optimized geometry, DFT PBE
# formation energy from raw total energies = 1.122 eV per atom
# offset from the most stable computed form = 3.94 eV/f.u.
data_Cd2WCl
_space_group_name_H-M_alt 'F m -3 m'
_space_group_IT_number 225
_space_group_name_Hall '-F 4 2 3'
_cell_length_a 7.157
_cell_length_b 7.157
_cell_length_c 7.157
_cell_angle_alpha 90.00
_cell_angle_beta 90.00
_cell_angle_gamma 90.00
loop_
_atom_site_label
_atom_site_type_symbol
_atom_site_fract_x
_atom_site_fract_y
_atom_site_fract_z
_atom_site_occupancy
Cd1 Cd 0.250 0.250 0.250 1
W1 W 0.000 0.000 0.000 1
Cl1 Cl 0.000 0.000 0.500 1

# HgTe2Au, optimized geometry, DFT PBE
# formation energy from raw total energies = -0.039 eV per atom
data_HgTe2Au
_space_group_name_H-M_alt 'P 1 2/m 1'
_space_group_IT_number 10
_cell_length_a 5.288
_cell_length_b 4.160
_cell_length_c 5.333
_cell_angle_alpha 90.00
_cell_angle_beta 107.68
_cell_angle_gamma 90.00
loop_
_space_group_symop_operation_xyz
'x,y,z'
'-x,-y,-z'
'-x,y,-z'
'x,-y,z'
loop_
_atom_site_label
_atom_site_type_symbol
_atom_site_fract_x
_atom_site_fract_y
_atom_site_fract_z
_atom_site_occupancy
Hg1 Hg 0.000 0.000 0.000 1
Te1 Te 0.277 0.500 0.724 1
Au1 Au 0.500 0.000 0.500 1

# Cd2Ge2I, optimized geometry, DFT PBE
# formation energy from raw total energies = 0.197 eV per atom
# offset from the most stable computed form = 0.31 eV/f.u.
data_Cd2Ge2I
_space_group_name_H-M_alt 'I 4/m m m'
_space_group_IT_number 139
_space_group_name_Hall '-I 4 2'
_cell_length_a 4.960
_cell_length_b 4.960
_cell_length_c 10.659
_cell_angle_alpha 90.00
_cell_angle_beta 90.00
_cell_angle_gamma 90.00
loop_
_atom_site_label
_atom_site_type_symbol
_atom_site_fract_x
_atom_site_fract_y
_atom_site_fract_z
_atom_site_occupancy
Cd1 Cd 0.000 0.500 0.250 1
Ge1 Ge 0.000 0.000 0.117 1
I1 I 0.000 0.000 0.500 1

# TbCeAs, optimized geometry, DFT PBE
# E_form = -0.823 eV/atom
data_TbCeAs
_space_group_name_H-M_alt 'P n m a'
_space_group_IT_number 62
_cell_length_a 16.779
_cell_length_b 4.337
_cell_length_c 4.336
_cell_angle_alpha 90.00
_cell_angle_beta 90.00
_cell_angle_gamma 90.00
loop_
_space_group_symop_operation_xyz
'x,y,z'
'-x,-y,-z'
'-x+1/2,-y,z+1/2'
'x+1/2,y,-z+1/2'
'x+1/2,-y+1/2,-z+1/2'
'-x+1/2,y+1/2,z+1/2'
'-x,y+1/2,-z'
'x,-y+1/2,z'
loop_
_atom_site_label
_atom_site_type_symbol
_atom_site_fract_x
_atom_site_fract_y
_atom_site_fract_z
_atom_site_occupancy
Tb1 Tb 0.250 0.250 0.247 1
Ce1 Ce 0.069 0.250 0.748 1
As1 As 0.116 0.750 0.247 1

# Ce2Tc2Ge2C, optimized geometry, DFT PBE
# E_form = -0.536 eV/atom
data_Ce2Tc2Ge2C
_space_group_name_H-M_alt 'C 1 2/m 1'
_space_group_IT_number 12
_cell_length_a 11.194
_cell_length_b 4.121
_cell_length_c 7.124
_cell_angle_alpha 90.00
_cell_angle_beta 127.12
_cell_angle_gamma 90.00
loop_
_space_group_symop_operation_xyz
'x,y,z'
'-x,-y,-z'
'-x,y,-z'
'x,-y,z'
'x+1/2,y+1/2,z'
'-x+1/2,-y+1/2,-z'
'-x+1/2,y+1/2,-z'
'x+1/2,-y+1/2,z'
loop_
_atom_site_label
_atom_site_type_symbol
_atom_site_fract_x
_atom_site_fract_y
_atom_site_fract_z
_atom_site_occupancy
Ce1 Ce 0.063 0.000 0.290 1
Tc1 Tc 0.200 0.500 0.086 1
Ge1 Ge 0.152 0.500 0.688 1
C1 C 0.000 0.500 0.000 1

# CoCuTc2, optimized geometry, DFT PBE
# E_form = 0.153 eV/atom
# offset from the most stable computed form = 0.11 eV/f.u.
data_CoCuTc2
_space_group_name_H-M_alt 'P 4/m m m'
_space_group_IT_number 123
_space_group_name_Hall '-P 4 2'
_cell_length_a 2.584
_cell_length_b 2.584
_cell_length_c 7.757
_cell_angle_alpha 90.00
_cell_angle_beta 90.00
_cell_angle_gamma 90.00
loop_
_atom_site_label
_atom_site_type_symbol
_atom_site_fract_x
_atom_site_fract_y
_atom_site_fract_z
_atom_site_occupancy
Co1 Co 0.000 0.000 0.000 1
Cu1 Cu 0.000 0.000 0.500 1
Tc1 Tc 0.500 0.500 0.239 1

# CsCa2PbBr8, optimized geometry, DFT PBE
# formation energy from raw total energies = -1.462 eV per atom
data_CsCa2PbBr8
_space_group_name_H-M_alt 'P -1'
_space_group_IT_number 2
_cell_length_a 5.960
_cell_length_b 7.758
_cell_length_c 10.103
_cell_angle_alpha 89.98
_cell_angle_beta 89.92
_cell_angle_gamma 88.59
loop_
_space_group_symop_operation_xyz
'x,y,z'
'-x,-y,-z'
loop_
_atom_site_label
_atom_site_type_symbol
_atom_site_fract_x
_atom_site_fract_y
_atom_site_fract_z
_atom_site_occupancy
Cs1 Cs 0.000 0.000 0.000 1
Ca1 Ca 0.500 0.500 0.287 1
Pb1 Pb 0.000 0.000 0.500 1
Br1 Br 0.248 0.350 0.500 1
Br2 Br 0.251 0.483 0.000 1
Br3 Br 0.261 0.820 0.721 1
Br4 Br 0.262 0.821 0.279 1

# Be2FeTc2, optimized geometry, DFT PBE
# E_form = -0.213 eV/atom
data_Be2FeTc2
_space_group_name_H-M_alt 'P 4/m b m'
_space_group_IT_number 127
_space_group_name_Hall '-P 4 2ab'
_cell_length_a 5.920
_cell_length_b 5.920
_cell_length_c 3.140
_cell_angle_alpha 90.00
_cell_angle_beta 90.00
_cell_angle_gamma 90.00
loop_
_atom_site_label
_atom_site_type_symbol
_atom_site_fract_x
_atom_site_fract_y
_atom_site_fract_z
_atom_site_occupancy
Be1 Be 0.122 0.378 0.000 1
Fe1 Fe 0.000 0.000 0.000 1
Tc1 Tc 0.177 0.677 0.500 1

# KGe2PdRh, optimized geometry, DFT PBE
# E_form = -0.431 eV/atom
data_KGe2PdRh
_space_group_name_H-M_alt 'I -4 m 2'
_space_group_IT_number 119
_space_group_name_Hall 'I -4 -2'
_cell_length_a 4.097
_cell_length_b 4.097
_cell_length_c 13.220
_cell_angle_alpha 90.00
_cell_angle_beta 90.00
_cell_angle_gamma 90.00
loop_
_atom_site_label
_atom_site_type_symbol
_atom_site_fract_x
_atom_site_fract_y
_atom_site_fract_z
_atom_site_occupancy
K1 K 0.000 0.000 0.000 1
Ge1 Ge 0.000 0.000 0.356 1
Pd1 Pd 0.000 0.500 0.250 1
Rh1 Rh 0.000 0.500 0.750 1

# Pr12Nd3Cd, optimized geometry, DFT PBE
# E_form = -0.012 eV/atom
data_Pr12Nd3Cd
_space_group_name_H-M_alt 'P 4/m m m'
_space_group_IT_number 123
_space_group_name_Hall '-P 4 2'
_cell_length_a 5.171
_cell_length_b 5.171
_cell_length_c 20.929
_cell_angle_alpha 90.00
_cell_angle_beta 90.00
_cell_angle_gamma 90.00
loop_
_atom_site_label
_atom_site_type_symbol
_atom_site_fract_x
_atom_site_fract_y
_atom_site_fract_z
_atom_site_occupancy
Pr1 Pr 0.000 0.000 0.000 1
Pr2 Pr 0.000 0.000 0.244 1
Pr3 Pr 0.000 0.000 0.500 1
Pr4 Pr 0.000 0.500 0.120 1
Pr5 Pr 0.000 0.500 0.373 1
Nd1 Nd 0.500 0.500 0.246 1
Nd2 Nd 0.500 0.500 0.500 1
Cd1 Cd 0.500 0.500 0.000 1

# Ca3Y3AgTe8, optimized geometry, DFT PBE
# formation energy from raw total energies = -1.290 eV per atom
data_Ca3Y3AgTe8
_space_group_name_H-M_alt 'R -3 m'
_space_group_IT_number 166
_space_group_name_Hall '-R 3 2"'
_cell_length_a 8.8169
_cell_length_b 8.8169
_cell_length_c 21.8542
_cell_angle_alpha 90.00
_cell_angle_beta 90.00
_cell_angle_gamma 120.00
loop_
_atom_site_label
_atom_site_type_symbol
_atom_site_fract_x
_atom_site_fract_y
_atom_site_fract_z
_atom_site_occupancy
Ca1 Ca 0.0000 0.5000 0.0000 1
Y1 Y 0.0000 0.5000 0.5000 1
Ag1 Ag 0.0000 0.0000 0.5000 1
Te1 Te 0.0000 0.0000 0.2481 1
Te2 Te 0.0044 0.5022 0.7532 1

# RbTc2Pb, optimized geometry, DFT PBE
# E_form = 1.789 eV/atom
data_RbTc2Pb
_space_group_name_H-M_alt 'I -4 2 d'
_space_group_IT_number 122
_space_group_name_Hall 'I -4 2bw'
_cell_length_a 8.242
_cell_length_b 8.242
_cell_length_c 6.223
_cell_angle_alpha 90.00
_cell_angle_beta 90.00
_cell_angle_gamma 90.00
loop_
_atom_site_label
_atom_site_type_symbol
_atom_site_fract_x
_atom_site_fract_y
_atom_site_fract_z
_atom_site_occupancy
Rb1 Rb 0.000 0.000 0.000 1
Tc1 Tc 0.200 0.250 0.625 1
Pb1 Pb 0.000 0.000 0.500 1

# Li2Zn5Ag2, optimized geometry, DFT PBE
# E_form = -0.138 eV/atom
# offset from the most stable computed form = 0.00 eV/f.u.
data_Li2Zn5Ag2
_space_group_name_H-M_alt 'C 1 2/m 1'
_space_group_IT_number 12
_cell_length_a 9.264
_cell_length_b 4.400
_cell_length_c 8.158
_cell_angle_alpha 90.00
_cell_angle_beta 124.29
_cell_angle_gamma 90.00
loop_
_space_group_symop_operation_xyz
'x,y,z'
'-x,-y,-z'
'-x,y,-z'
'x,-y,z'
'x+1/2,y+1/2,z'
'-x+1/2,-y+1/2,-z'
'-x+1/2,y+1/2,-z'
'x+1/2,-y+1/2,z'
loop_
_atom_site_label
_atom_site_type_symbol
_atom_site_fract_x
_atom_site_fract_y
_atom_site_fract_z
_atom_site_occupancy
Li1 Li 0.167 0.000 0.240 1
Zn1 Zn 0.000 0.500 0.000 1
Zn2 Zn 0.164 0.000 0.573 1
Zn3 Zn 0.176 0.000 0.906 1
Ag1 Ag 0.005 0.500 0.328 1

# TlCo2As, optimized geometry, DFT PBE
# E_form = 0.442 eV/atom
# offset from the most stable computed form = 1.13 eV/f.u.
data_TlCo2As
_space_group_name_H-M_alt 'P 4/m m m'
_space_group_IT_number 123
_space_group_name_Hall '-P 4 2'
_cell_length_a 4.400
_cell_length_b 4.400
_cell_length_c 3.135
_cell_angle_alpha 90.00
_cell_angle_beta 90.00
_cell_angle_gamma 90.00
loop_
_atom_site_label
_atom_site_type_symbol
_atom_site_fract_x
_atom_site_fract_y
_atom_site_fract_z
_atom_site_occupancy
Tl1 Tl 0.000 0.000 0.000 1
Co1 Co 0.000 0.500 0.500 1
As1 As 0.500 0.500 0.000 1

# EuCuHg2, optimized geometry, DFT PBE
# E_form = -0.163 eV/atom
# offset from the most stable computed form = 0.18 eV/f.u.
data_EuCuHg2
_space_group_name_H-M_alt 'P 4/m m m'
_space_group_IT_number 123
_space_group_name_Hall '-P 4 2'
_cell_length_a 3.558
_cell_length_b 3.558
_cell_length_c 7.274
_cell_angle_alpha 90.00
_cell_angle_beta 90.00
_cell_angle_gamma 90.00
loop_
_atom_site_label
_atom_site_type_symbol
_atom_site_fract_x
_atom_site_fract_y
_atom_site_fract_z
_atom_site_occupancy
Eu1 Eu 0.000 0.000 0.000 1
Cu1 Cu 0.000 0.000 0.500 1
Hg1 Hg 0.500 0.500 0.294 1

# NbFeNiSn, optimized geometry, DFT PBE
# E_form = -0.104 eV/atom
data_NbFeNiSn
_space_group_name_H-M_alt 'F -4 3 m'
_space_group_IT_number 216
_space_group_name_Hall 'F -4 2 3'
_cell_length_a 6.212
_cell_length_b 6.212
_cell_length_c 6.212
_cell_angle_alpha 90.00
_cell_angle_beta 90.00
_cell_angle_gamma 90.00
loop_
_atom_site_label
_atom_site_type_symbol
_atom_site_fract_x
_atom_site_fract_y
_atom_site_fract_z
_atom_site_occupancy
Nb1 Nb 0.000 0.000 0.000 1
Fe1 Fe 0.250 0.250 0.750 1
Ni1 Ni 0.250 0.250 0.250 1
Sn1 Sn 0.000 0.000 0.500 1

# Na2TeBr, optimized geometry, DFT PBE
# formation energy from raw total energies = -0.854 eV per atom
# offset from the most stable computed form = 0.63 eV/f.u.
data_Na2TeBr
_space_group_name_H-M_alt 'I -4 2 d'
_space_group_IT_number 122
_space_group_name_Hall 'I -4 2bw'
_cell_length_a 7.825
_cell_length_b 7.825
_cell_length_c 9.120
_cell_angle_alpha 90.00
_cell_angle_beta 90.00
_cell_angle_gamma 90.00
loop_
_atom_site_label
_atom_site_type_symbol
_atom_site_fract_x
_atom_site_fract_y
_atom_site_fract_z
_atom_site_occupancy
Na1 Na 0.218 0.250 0.125 1
Te1 Te 0.000 0.000 0.500 1
Br1 Br 0.000 0.000 0.000 1

# Tb2PmSc8, optimized geometry, DFT PBE
# E_form = 0.140 eV/atom
data_Tb2PmSc8
_space_group_name_H-M_alt 'I m m m'
_space_group_IT_number 71
_space_group_name_Hall '-I 2 2'
_cell_length_a 5.489
_cell_length_b 6.837
_cell_length_c 16.198
_cell_angle_alpha 90.00
_cell_angle_beta 90.00
_cell_angle_gamma 90.00
loop_
_atom_site_label
_atom_site_type_symbol
_atom_site_fract_x
_atom_site_fract_y
_atom_site_fract_z
_atom_site_occupancy
Tb1 Tb 0.000 0.000 0.190 1
Pm1 Pm 0.000 0.500 0.000 1
Sc1 Sc 0.000 0.227 0.370 1
Sc2 Sc 0.000 0.500 0.202 1
Sc3 Sc 0.244 0.000 0.000 1

Number 1: spin magnetization 0.0 μB per formula unit, volume 17.80 Å³/atom, Fermi-level density of states 7.52 states/eV/cell. Number 2: spin magnetization 0.0 μB per formula unit, volume 24.19 Å³/atom, Fermi-level density of states 7.38 states/eV/cell. Number 3: spin magnetization 4.0 μB per formula unit, volume 22.91 Å³/atom, Fermi-level density of states 12.38 states/eV/cell. Number 4: spin magnetization 0.0 μB per formula unit, volume 27.94 Å³/atom, Fermi-level density of states 1.97 states/eV/cell. Number 5: spin magnetization 0.0 μB per formula unit, volume 26.23 Å³/atom, Fermi-level density of states 5.90 states/eV/cell. Number 6: spin magnetization 1.4 μB per formula unit, volume 26.30 Å³/atom, Fermi-level density of states 28.86 states/eV/cell. Number 7: spin magnetization 1.2 μB per formula unit, volume 18.72 Å³/atom, Fermi-level density of states 21.38 states/eV/cell. Number 8: spin magnetization 0.8 μB per formula unit, volume 12.95 Å³/atom, Fermi-level density of states 3.51 states/eV/cell. Number 9: spin magnetization 0.0 μB per formula unit, volume 38.92 Å³/atom, Fermi-level density of states 5.16 states/eV/cell. Number 10: spin magnetization 2.5 μB per formula unit, volume 11.00 Å³/atom, Fermi-level density of states 6.97 states/eV/cell. Number 11: spin magnetization 0.0 μB per formula unit, volume 22.19 Å³/atom, Fermi-level density of states 2.11 states/eV/cell. Number 12: spin magnetization 0.0 μB per formula unit, volume 34.97 Å³/atom, Fermi-level density of states 23.03 states/eV/cell. Number 13: spin magnetization 0.0 μB per formula unit, volume 32.70 Å³/atom, Fermi-level density of states 10.16 states/eV/cell. Number 14: spin magnetization 4.2 μB per formula unit, volume 26.42 Å³/atom, Fermi-level density of states 21.02 states/eV/cell. Number 15: spin magnetization 0.0 μB per formula unit, volume 15.26 Å³/atom, Fermi-level density of states 3.50 states/eV/cell. Number 16: spin magnetization 1.9 μB per formula unit, volume 15.18 Å³/atom, Fermi-level density of states 2.92 states/eV/cell. Number 17: spin magnetization 7.2 μB per formula unit, volume 23.02 Å³/atom, Fermi-level density of states 1.84 states/eV/cell. Number 18: spin magnetization 1.3 μB per formula unit, volume 14.98 Å³/atom, Fermi-level density of states 11.99 states/eV/cell. Number 19: spin magnetization 1.0 μB per formula unit, volume 34.90 Å³/atom, Fermi-level density of states 3.45 states/eV/cell. Number 20: spin magnetization 0.0 μB per formula unit, volume 27.63 Å³/atom, Fermi-level density of states 35.20 states/eV/cell.